Record 1
{
  "formula": "SmSn4Rh6",
  "functional": "GGA-PBE",
  "state": "optimized geometry",
  "cell": [[-3.338, 3.338, 4.991], [3.338, -3.338, 4.991], [3.338, 3.338, -4.991]],
  "species": ["Sm", "Sn", "Sn", "Sn", "Sn", "Rh", "Rh", "Rh", "Rh", "Rh", "Rh"],
  "frac_coords": [[0.000, 0.000, 0.000], [0.109, 0.109, 0.589], [0.480, 0.891, 0.000], [0.520, 0.520, 0.411], [0.891, 0.480, 0.000], [0.000, 0.500, 0.500], [0.245, 0.576, 0.000], [0.424, 0.424, 0.669], [0.500, 0.000, 0.500], [0.576, 0.245, 0.000], [0.755, 0.755, 0.331]],
  "e_form_ev_per_atom": -0.29,
  "energy_ev_per_atom": -6.180
}


Record 2
{
  "formula": "GeTe2PI",
  "functional": "GGA-PBE",
  "state": "optimized geometry",
  "cell": [[5.485, 0.000, 0.000], [0.000, 5.485, 0.000], [0.000, 0.000, 5.567]],
  "species": ["Ge", "Te", "Te", "P", "I"],
  "frac_coords": [[0.000, 0.000, 0.000], [0.000, 0.500, 0.000], [0.500, 0.000, 0.000], [0.500, 0.500, 0.500], [0.000, 0.000, 0.500]],
  "e_above_lowest_polymorph_mev_per_atom": 350,
  "formation_energy_uncorrected_ev_per_atom": 0.8803,
  "energy_ev_per_atom": -2.692
}


Record 3
{
  "formula": "PmPr6Y2Tm3",
  "functional": "GGA-PBE",
  "state": "optimized geometry",
  "cell": [[3.155, -5.464, 0.000], [3.155, 5.464, 0.000], [-2.099, 0.000, 11.702]],
  "species": ["Pm", "Pr", "Pr", "Pr", "Pr", "Pr", "Pr", "Y", "Y", "Tm", "Tm", "Tm"],
  "frac_coords": [[0.000, 0.000, 0.000], [0.085, 0.418, 0.253], [0.249, 0.249, 0.747], [0.418, 0.085, 0.253], [0.582, 0.915, 0.747], [0.751, 0.751, 0.253], [0.915, 0.582, 0.747], [0.333, 0.667, 0.000], [0.667, 0.333, 0.000], [0.167, 0.833, 0.500], [0.500, 0.500, 0.500], [0.833, 0.167, 0.500]],
  "e_form_ev_per_atom": 0.01,
  "energy_ev_per_atom": -4.968
}


Record 4
{
  "formula": "SrNpCl5",
  "functional": "GGA-PBE",
  "state": "optimized geometry",
  "cell": [[5.300, -5.224, 0.000], [5.300, 5.224, 0.000], [-4.010, 0.000, 9.130]],
  "species": ["Sr", "Sr", "Np", "Np", "Cl", "Cl", "Cl", "Cl", "Cl", "Cl", "Cl", "Cl", "Cl", "Cl"],
  "frac_coords": [[0.079, 0.921, 0.750], [0.921, 0.079, 0.250], [0.000, 0.500, 0.000], [0.500, 0.000, 0.500], [0.193, 0.193, 0.040], [0.193, 0.193, 0.540], [0.204, 0.599, 0.849], [0.217, 0.783, 0.250], [0.401, 0.796, 0.651], [0.599, 0.204, 0.349], [0.783, 0.217, 0.750], [0.796, 0.401, 0.151], [0.807, 0.807, 0.460], [0.807, 0.807, 0.960]],
  "e_above_lowest_polymorph_mev_per_atom": 27,
  "formation_energy_uncorrected_ev_per_atom": -1.9656,
  "energy_ev_per_atom": -5.374
}


Record 5
{
  "formula": "K8Au2O",
  "functional": "GGA-PBE",
  "state": "optimized geometry",
  "cell": [[11.559, -2.674, 0.000], [11.559, 2.674, 0.000], [-2.269, 0.000, 7.127]],
  "species": ["K", "K", "K", "K", "K", "K", "K", "K", "Au", "Au", "O"],
  "frac_coords": [[0.000, 0.000, 0.222], [0.000, 0.000, 0.778], [0.244, 0.244, 0.250], [0.401, 0.401, 0.132], [0.402, 0.402, 0.676], [0.598, 0.598, 0.324], [0.599, 0.599, 0.868], [0.756, 0.756, 0.750], [0.129, 0.129, 0.621], [0.871, 0.871, 0.379], [0.500, 0.500, 0.000]],
  "e_above_lowest_polymorph_mev_per_atom": 83,
  "formation_energy_uncorrected_ev_per_atom": -0.3232,
  "energy_ev_per_atom": -2.168
}


Record 6
{
  "formula": "TlRe4Hg",
  "functional": "GGA-PBE",
  "state": "optimized geometry",
  "cell": [[0.000, 3.774, 3.774], [3.774, 0.000, 3.774], [3.774, 3.774, 0.000]],
  "species": ["Tl", "Re", "Re", "Re", "Re", "Hg"],
  "frac_coords": [[0.000, 0.000, 0.000], [0.375, 0.375, 0.375], [0.375, 0.375, 0.874], [0.375, 0.874, 0.375], [0.874, 0.375, 0.375], [0.750, 0.750, 0.750]],
  "e_form_ev_per_atom": 0.93,
  "energy_ev_per_atom": -7.809
}


Record 7
{
  "formula": "NaDy4Ag5",
  "functional": "GGA-PBE",
  "state": "optimized geometry",
  "cell": [[3.595, 0.000, 0.000], [0.000, 3.595, 0.000], [0.000, 0.000, 18.572]],
  "species": ["Na", "Dy", "Dy", "Dy", "Dy", "Ag", "Ag", "Ag", "Ag", "Ag"],
  "frac_coords": [[0.000, 0.000, 0.000], [0.000, 0.000, 0.200], [0.000, 0.000, 0.400], [0.000, 0.000, 0.600], [0.000, 0.000, 0.800], [0.500, 0.500, 0.106], [0.500, 0.500, 0.301], [0.500, 0.500, 0.500], [0.500, 0.500, 0.699], [0.500, 0.500, 0.894]],
  "e_form_ev_per_atom": -0.25,
  "energy_ev_per_atom": -3.644
}


Record 8
{
  "formula": "Ba2ZnHg4Au3",
  "functional": "GGA-PBE",
  "state": "optimized geometry",
  "cell": [[4.597, 0.000, 0.000], [0.000, 4.597, 0.000], [0.000, 0.000, 12.831]],
  "species": ["Ba", "Ba", "Zn", "Hg", "Hg", "Hg", "Hg", "Au", "Au", "Au"],
  "frac_coords": [[0.000, 0.500, 0.249], [0.500, 0.000, 0.751], [0.000, 0.000, 0.500], [0.000, 0.000, 0.000], [0.000, 0.500, 0.630], [0.500, 0.000, 0.370], [0.500, 0.500, 0.000], [0.000, 0.500, 0.853], [0.500, 0.000, 0.147], [0.500, 0.500, 0.500]],
  "e_form_ev_per_atom": -0.40,
  "energy_ev_per_atom": -2.012
}